No. 1
The following is a PBE-GGA calculation of crystalline HoTlNiTe3 at its relaxed geometry, from OQMD via LeMat-Bulk.

Summary:
**Final energy**: -103.63 eV/cell
**Distance to the lowest polymorph of the same formula**: 0.010 eV/atom
**Crystal system**: orthorhombic

a = 10.885 Å, b = 4.123 Å, c = 16.261 Å
α = 90.00°, β = 90.00°, γ = 90.00°
Fractional coordinates of all 24 atoms:
Ho 0.007 0.250 0.248
Ho 0.493 0.750 0.748
Ho 0.507 0.250 0.252
Ho 0.993 0.750 0.752
Tl 0.238 0.750 0.500
Tl 0.262 0.250 0.000
Tl 0.738 0.750 0.000
Tl 0.762 0.250 0.500
Ni 0.244 0.250 0.731
Ni 0.256 0.750 0.231
Ni 0.744 0.250 0.769
Ni 0.756 0.750 0.269
Te 0.072 0.250 0.624
Te 0.088 0.750 0.122
Te 0.244 0.750 0.828
Te 0.256 0.250 0.328
Te 0.412 0.250 0.622
Te 0.428 0.750 0.124
Te 0.572 0.250 0.876
Te 0.588 0.750 0.378
Te 0.744 0.750 0.672
Te 0.756 0.250 0.172
Te 0.912 0.250 0.878
Te 0.928 0.750 0.376

***

No. 2
The following is a PBE-GGA calculation of crystalline HoTlNiTe3 at its relaxed geometry, from OQMD via LeMat-Bulk.

Summary:
**Final energy**: -100.76 eV/cell
**Distance to the lowest polymorph of the same formula**: 0.129 eV/atom
**Crystal system**: orthorhombic

a = 9.233 Å, b = 4.374 Å, c = 17.062 Å
α = 90.00°, β = 90.00°, γ = 90.00°
Fractional coordinates of all 24 atoms:
Ho 0.214 0.250 0.048
Ho 0.286 0.750 0.548
Ho 0.714 0.250 0.452
Ho 0.786 0.750 0.952
Tl 0.086 0.750 0.294
Tl 0.414 0.250 0.794
Tl 0.586 0.750 0.206
Tl 0.914 0.250 0.706
Ni 0.133 0.750 0.863
Ni 0.367 0.250 0.363
Ni 0.633 0.750 0.637
Ni 0.867 0.250 0.137
Te 0.013 0.250 0.902
Te 0.138 0.250 0.453
Te 0.183 0.750 0.717
Te 0.317 0.250 0.217
Te 0.362 0.750 0.953
Te 0.487 0.750 0.402
Te 0.513 0.250 0.598
Te 0.638 0.250 0.047
Te 0.683 0.750 0.783
Te 0.817 0.250 0.283
Te 0.862 0.750 0.547
Te 0.987 0.750 0.098

***

No. 3
The following is a PBE-GGA calculation of crystalline HoTlNiTe3 at its relaxed geometry, from OQMD via LeMat-Bulk.

Summary:
**Final energy**: -102.69 eV/cell
**Distance to the lowest polymorph of the same formula**: 0.049 eV/atom
**Crystal system**: orthorhombic

a = 12.591 Å, b = 4.235 Å, c = 12.742 Å
α = 90.00°, β = 90.00°, γ = 90.00°
Fractional coordinates of all 24 atoms:
Ho 0.036 0.250 0.190
Ho 0.464 0.750 0.690
Ho 0.536 0.250 0.310
Ho 0.964 0.750 0.810
Tl 0.194 0.250 0.497
Tl 0.306 0.750 0.997
Tl 0.694 0.250 0.003
Tl 0.806 0.750 0.503
Ni 0.232 0.750 0.320
Ni 0.268 0.250 0.820
Ni 0.732 0.750 0.180
Ni 0.768 0.250 0.680
Te 0.034 0.750 0.359
Te 0.098 0.250 0.935
Te 0.218 0.750 0.721
Te 0.282 0.250 0.221
Te 0.402 0.750 0.435
Te 0.466 0.250 0.859
Te 0.534 0.750 0.141
Te 0.598 0.250 0.565
Te 0.718 0.750 0.779
Te 0.782 0.250 0.279
Te 0.902 0.750 0.065
Te 0.966 0.250 0.641

***

No. 4
The following is a PBE-GGA calculation of crystalline HoTlNiTe3 at its relaxed geometry, from OQMD via LeMat-Bulk.

Summary:
**Final energy**: -50.43 eV/cell
**Distance to the lowest polymorph of the same formula**: 0.125 eV/atom
**Crystal system**: monoclinic

a = 9.086 Å, b = 9.086 Å, c = 9.583 Å
α = 103.60°, β = 103.60°, γ = 27.83°
Fractional coordinates of all 12 atoms:
Ho 0.174 0.174 0.089
Ho 0.826 0.826 0.911
Tl 0.143 0.143 0.565
Tl 0.857 0.857 0.435
Ni 0.500 0.500 0.176
Ni 0.500 0.500 0.824
Te 0.000 0.000 0.000
Te 0.350 0.350 0.146
Te 0.353 0.353 0.708
Te 0.500 0.500 0.500
Te 0.647 0.647 0.292
Te 0.650 0.650 0.854

***

No. 5
The following is a PBE-GGA calculation of crystalline HoTlNiTe3 at its relaxed geometry, from OQMD via LeMat-Bulk.

Summary:
**Final energy**: -51.80 eV/cell
**Distance to the lowest polymorph of the same formula**: 0.011 eV/atom
**Crystal system**: orthorhombic

a = 8.270 Å, b = 8.270 Å, c = 10.972 Å
α = 90.00°, β = 90.00°, γ = 151.10°
Fractional coordinates of all 12 atoms:
Ho 0.000 0.000 0.000
Ho 0.000 0.000 0.500
Tl 0.251 0.749 0.750
Tl 0.749 0.251 0.250
Ni 0.478 0.522 0.250
Ni 0.522 0.478 0.750
Te 0.076 0.924 0.250
Te 0.370 0.630 0.078
Te 0.370 0.630 0.422
Te 0.630 0.370 0.578
Te 0.630 0.370 0.922
Te 0.924 0.076 0.750

***

No. 6
The following is a PBE-GGA calculation of crystalline HoTlNiTe3 at its relaxed geometry, from OQMD via LeMat-Bulk.

Summary:
**Final energy**: -51.93 eV/cell
**Distance to the lowest polymorph of the same formula**: 0.000 eV/atom
**Crystal system**: monoclinic

a = 9.020 Å, b = 4.149 Å, c = 10.960 Å
α = 90.00°, β = 112.62°, γ = 90.00°
Fractional coordinates of all 12 atoms:
Ho 0.190 0.250 0.150
Ho 0.810 0.750 0.850
Tl 0.230 0.750 0.695
Tl 0.770 0.250 0.305
Ni 0.408 0.750 0.390
Ni 0.592 0.250 0.610
Te 0.060 0.250 0.852
Te 0.299 0.250 0.458
Te 0.447 0.750 0.172
Te 0.553 0.250 0.828
Te 0.701 0.750 0.542
Te 0.940 0.750 0.148

***

No. 7
The following is a PBE-GGA calculation of crystalline Ho2Tm5Ni2Te2 at its relaxed geometry, from OQMD via LeMat-Bulk.

Summary:
**Final energy**: -56.40 eV/cell
**Crystal system**: orthorhombic

a = 9.267 Å, b = 9.267 Å, c = 9.267 Å
α = 156.22°, β = 67.12°, γ = 118.27°
Fractional coordinates of all 11 atoms:
Ho 0.133 0.000 0.133
Ho 0.867 0.000 0.867
Tm 0.112 0.797 0.315
Tm 0.419 0.419 0.000
Tm 0.482 0.797 0.685
Tm 0.500 0.147 0.353
Tm 0.793 0.147 0.647
Ni 0.254 0.490 0.764
Ni 0.726 0.490 0.236
Te 0.155 0.655 0.500
Te 0.754 0.754 0.000

***

No. 8
The following is a PBE-GGA calculation of crystalline Ho4Tm3Ni2Te2 at its relaxed geometry, from OQMD via LeMat-Bulk.

Summary:
**Final energy**: -56.62 eV/cell
**Crystal system**: orthorhombic

a = 9.301 Å, b = 9.301 Å, c = 9.301 Å
α = 156.22°, β = 66.87°, γ = 118.53°
Fractional coordinates of all 11 atoms:
Ho 0.133 0.000 0.133
Ho 0.501 0.147 0.354
Ho 0.794 0.147 0.646
Ho 0.867 0.000 0.867
Tm 0.111 0.796 0.315
Tm 0.417 0.417 0.000
Tm 0.481 0.796 0.685
Ni 0.252 0.489 0.763
Ni 0.726 0.489 0.237
Te 0.153 0.653 0.500
Te 0.754 0.754 0.000

***

No. 9
The following is a PBE-GGA calculation of crystalline Ho3Tm3NiTe2 at its relaxed geometry, from OQMD via LeMat-Bulk.

Summary:
**Final energy**: -45.35 eV/cell
**Distance to the lowest polymorph of the same formula**: 0.000 eV/atom
**Crystal system**: hexagonal

a = 8.315 Å, b = 8.315 Å, c = 3.888 Å
α = 90.00°, β = 90.00°, γ = 120.00°
Fractional coordinates of all 9 atoms:
Ho 0.000 0.400 0.000
Ho 0.400 0.000 0.000
Ho 0.600 0.600 0.000
Tm 0.000 0.762 0.500
Tm 0.238 0.238 0.500
Tm 0.762 0.000 0.500
Ni 0.000 0.000 0.000
Te 0.333 0.667 0.500
Te 0.667 0.333 0.500

***

No. 10
The following is a PBE-GGA calculation of crystalline Ho5Tm2Ni2Te2 at its relaxed geometry, from OQMD via LeMat-Bulk.

Summary:
**Final energy**: -56.69 eV/cell
**Crystal system**: orthorhombic

a = 9.297 Å, b = 9.297 Å, c = 9.297 Å
α = 156.22°, β = 66.91°, γ = 118.49°
Fractional coordinates of all 11 atoms:
Ho 0.000 0.000 0.000
Ho 0.285 0.418 0.867
Ho 0.306 0.621 0.685
Ho 0.551 0.418 0.133
Ho 0.936 0.621 0.315
Tm 0.624 0.270 0.354
Tm 0.917 0.270 0.646
Ni 0.165 0.928 0.237
Ni 0.691 0.928 0.763
Te 0.265 0.765 0.500
Te 0.663 0.663 0.000

***

No. 11
The following is a PBE-GGA calculation of crystalline Ho3Tm3NiTe2 at its relaxed geometry, from OQMD via LeMat-Bulk.

Summary:
**Final energy**: -45.09 eV/cell
**Distance to the lowest polymorph of the same formula**: 0.029 eV/atom
**Crystal system**: hexagonal

a = 8.328 Å, b = 8.328 Å, c = 3.866 Å
α = 90.00°, β = 90.00°, γ = 120.00°
Fractional coordinates of all 9 atoms:
Ho 0.000 0.762 0.000
Ho 0.238 0.238 0.000
Ho 0.762 0.000 0.000
Tm 0.000 0.399 0.500
Tm 0.399 0.000 0.500
Tm 0.601 0.601 0.500
Ni 0.000 0.000 0.500
Te 0.333 0.667 0.000
Te 0.667 0.333 0.000

***

No. 12
The following is a PBE-GGA calculation of crystalline Ho6TmNi2Te2 at its relaxed geometry, from OQMD via LeMat-Bulk.

Summary:
**Final energy**: -56.76 eV/cell
**Crystal system**: orthorhombic

a = 9.311 Å, b = 9.311 Å, c = 9.311 Å
α = 156.23°, β = 66.88°, γ = 118.52°
Fractional coordinates of all 11 atoms:
Ho 0.111 0.796 0.315
Ho 0.133 0.000 0.133
Ho 0.482 0.796 0.685
Ho 0.501 0.147 0.354
Ho 0.794 0.147 0.646
Ho 0.867 0.000 0.867
Tm 0.417 0.417 0.000
Ni 0.252 0.489 0.763
Ni 0.727 0.489 0.237
Te 0.152 0.652 0.500
Te 0.754 0.754 0.000

***

No. 13
The following is a PBE-GGA calculation of crystalline YHo4Tm2Ni2Te2 at its relaxed geometry, from OQMD via LeMat-Bulk.

Summary:
**Final energy**: -58.73 eV/cell
**Crystal system**: orthorhombic

a = 9.315 Å, b = 9.315 Å, c = 9.315 Å
α = 156.21°, β = 66.80°, γ = 118.62°
Fractional coordinates of all 11 atoms:
Y 0.000 0.000 0.000
Ho 0.285 0.417 0.867
Ho 0.550 0.417 0.133
Ho 0.621 0.269 0.352
Ho 0.916 0.269 0.648
Tm 0.305 0.620 0.685
Tm 0.935 0.620 0.315
Ni 0.166 0.928 0.238
Ni 0.690 0.928 0.762
Te 0.264 0.764 0.500
Te 0.664 0.664 0.000

***

No. 14
The following is a PBE-GGA calculation of crystalline YHo2Tm4Ni2Te2 at its relaxed geometry, from OQMD via LeMat-Bulk.

Summary:
**Final energy**: -58.52 eV/cell
**Crystal system**: orthorhombic

a = 9.269 Å, b = 9.269 Å, c = 9.269 Å
α = 156.14°, β = 66.87°, γ = 118.57°
Fractional coordinates of all 11 atoms:
Y 0.000 0.000 0.000
Ho 0.621 0.269 0.352
Ho 0.917 0.269 0.648
Tm 0.284 0.417 0.867
Tm 0.307 0.621 0.685
Tm 0.551 0.417 0.133
Tm 0.936 0.621 0.315
Ni 0.167 0.928 0.239
Ni 0.690 0.928 0.761
Te 0.266 0.766 0.500
Te 0.662 0.662 0.000

***

No. 15
The following is a PBE-GGA calculation of crystalline YHo6Ni2Te2 at its relaxed geometry, from OQMD via LeMat-Bulk.

Summary:
**Final energy**: -58.87 eV/cell
**Crystal system**: orthorhombic

a = 9.339 Å, b = 9.339 Å, c = 9.339 Å
α = 156.25°, β = 66.81°, γ = 118.59°
Fractional coordinates of all 11 atoms:
Y 0.000 0.000 0.000
Ho 0.286 0.418 0.868
Ho 0.305 0.620 0.685
Ho 0.550 0.418 0.132
Ho 0.622 0.269 0.353
Ho 0.916 0.269 0.647
Ho 0.935 0.620 0.315
Ni 0.166 0.928 0.238
Ni 0.690 0.928 0.762
Te 0.265 0.765 0.500
Te 0.664 0.664 0.000

***

No. 16
The following is a PBE-GGA calculation of crystalline Y4Ho3Ni2Te2 at its relaxed geometry, from OQMD via LeMat-Bulk.

Summary:
**Final energy**: -64.51 eV/cell
**Crystal system**: orthorhombic

a = 9.378 Å, b = 9.378 Å, c = 9.378 Å
α = 156.26°, β = 66.89°, γ = 118.50°
Fractional coordinates of all 11 atoms:
Y 0.131 0.000 0.131
Y 0.204 0.850 0.354
Y 0.496 0.850 0.646
Y 0.869 0.000 0.869
Ho 0.517 0.201 0.316
Ho 0.582 0.582 0.000
Ho 0.886 0.201 0.684
Ni 0.272 0.510 0.762
Ni 0.749 0.510 0.238
Te 0.246 0.246 0.000
Te 0.846 0.346 0.500

***

No. 17
The following is a PBE-GGA calculation of crystalline Y5Ho2Ni2Te2 at its relaxed geometry, from OQMD via LeMat-Bulk.

Summary:
**Final energy**: -66.47 eV/cell
**Crystal system**: orthorhombic

a = 9.363 Å, b = 9.363 Å, c = 9.363 Å
α = 156.23°, β = 66.85°, γ = 118.55°
Fractional coordinates of all 11 atoms:
Y 0.000 0.000 0.000
Y 0.286 0.417 0.869
Y 0.549 0.417 0.131
Y 0.621 0.268 0.354
Y 0.914 0.268 0.646
Ho 0.303 0.619 0.685
Ho 0.934 0.619 0.315
Ni 0.166 0.928 0.238
Ni 0.690 0.928 0.762
Te 0.263 0.763 0.500
Te 0.664 0.664 0.000

***

No. 18
The following is a PBE-GGA calculation of crystalline Ho3Zr3NiTe2 at its relaxed geometry, from OQMD via LeMat-Bulk.

Summary:
**Final energy**: -56.03 eV/cell
**Distance to the lowest polymorph of the same formula**: 0.125 eV/atom
**Crystal system**: hexagonal

a = 8.132 Å, b = 8.132 Å, c = 3.664 Å
α = 90.00°, β = 90.00°, γ = 120.00°
Fractional coordinates of all 9 atoms:
Ho 0.000 0.756 0.000
Ho 0.244 0.244 0.000
Ho 0.756 0.000 0.000
Zr 0.000 0.409 0.500
Zr 0.409 0.000 0.500
Zr 0.591 0.591 0.500
Ni 0.000 0.000 0.500
Te 0.333 0.667 0.000
Te 0.667 0.333 0.000

***

No. 19
The following is a PBE-GGA calculation of crystalline Ho3Zr3NiTe2 at its relaxed geometry, from OQMD via LeMat-Bulk.

Summary:
**Final energy**: -57.16 eV/cell
**Distance to the lowest polymorph of the same formula**: 0.000 eV/atom
**Crystal system**: hexagonal

a = 7.981 Å, b = 7.981 Å, c = 3.896 Å
α = 90.00°, β = 90.00°, γ = 120.00°
Fractional coordinates of all 9 atoms:
Ho 0.000 0.398 0.000
Ho 0.398 0.000 0.000
Ho 0.602 0.602 0.000
Zr 0.000 0.770 0.500
Zr 0.230 0.230 0.500
Zr 0.770 0.000 0.500
Ni 0.000 0.000 0.000
Te 0.333 0.667 0.500
Te 0.667 0.333 0.500

***

No. 20
The following is a PBE-GGA calculation of crystalline HoThNi at its relaxed geometry, from OQMD via LeMat-Bulk.

Summary:
**Final energy**: -17.74 eV/cell
**Energy relative to the elements**: -60.2 meV per atom
**Crystal system**: cubic

a = 4.764 Å, b = 4.764 Å, c = 4.764 Å
α = 60.00°, β = 60.00°, γ = 60.00°
Fractional coordinates of all 3 atoms:
Ho 0.000 0.000 0.000
Th 0.500 0.500 0.500
Ni 0.250 0.250 0.250